CaAlHg4 (PBE, relaxed); M_tot = 0.000 μB per formula unit; raw total energy = -1.17 eV per atom; D(E_F) = 2.49 states/eV/cell; space-group type = No. 216; DFT formation energy = -0.01 eV per atom
1.0
0.000 4.259 4.259
4.259 0.000 4.259
4.259 4.259 0.000
Hg Al Ca
4 1 1
direct
0.375 0.875 0.375 Hg
0.375 0.375 0.875 Hg
0.875 0.375 0.375 Hg
0.375 0.375 0.375 Hg
0.750 0.750 0.750 Al
0.000 0.000 0.000 Ca

---

Y3HgPd5 (PBE, relaxed); M_tot = 0.000 μB per formula unit; raw total energy = -5.85 eV per atom; D(E_F) = 9.68 states/eV/cell; space-group type = No. 193; DFT formation energy = -0.78 eV per atom
1.0
-4.905 0.060 3.160
-4.501 -1.839 -6.952
3.051 -6.252 4.854
Y Pd Hg
6 10 2
direct
0.750 0.357 0.357 Y
0.750 0.000 0.643 Y
0.250 0.357 0.000 Y
0.250 0.643 0.643 Y
0.750 0.643 0.000 Y
0.250 0.000 0.357 Y
0.500 0.667 0.333 Pd
0.000 0.333 0.667 Pd
0.250 0.316 0.316 Pd
0.750 0.000 0.316 Pd
0.750 0.316 0.000 Pd
0.750 0.684 0.684 Pd
0.250 0.000 0.684 Pd
0.000 0.667 0.333 Pd
0.250 0.684 0.000 Pd
0.500 0.333 0.667 Pd
0.000 0.000 0.000 Hg
0.500 0.000 0.000 Hg